Record 1
Compound: P2RhNCl
Source: Alexandria
Functional: SCAN
Structure: PBEsol geometry

The space group is P4/mmm (No. 123) and the conventional cell measures 4.4509, 4.4509 and 5.0502 Å, with angles of 90.00, 90.00 and 90.00 degrees. The inequivalent atoms are P at (0.0000, 0.5000, 0.0000), Rh at (0.0000, 0.0000, 0.0000), N at (0.5000, 0.5000, 0.5000) and Cl at (0.0000, 0.0000, 0.5000).

The magnetic moment comes out at 0.372 μB per atom. The value obtained for the energy is -13.10 eV/atom. The value obtained for the density is 3.6 Mg/m³. The energy relative to the elements, uncorrected comes out at 1.2647 eV/atom.

=====

Record 2
Compound: TaZnIn2
Source: Alexandria
Functional: SCAN
Structure: PBEsol geometry

The space group is Pmm2 (No. 25) and the conventional cell measures 3.1294, 4.1233 and 5.8886 Å, with angles of 90.00, 90.00 and 90.00 degrees. The inequivalent atoms are Ta at (0.0000, 0.0000, 0.0000), Zn at (0.5000, 0.5000, 0.2236), In at (0.0000, 0.0000, 0.4785) and In at (0.5000, 0.5000, 0.7612).

The magnetic moment comes out at 0.000 μB per atom. The value obtained for the energy is -36.47 eV/atom. The value obtained for the density is 10.4 Mg/m³.

=====

Record 3
Compound: Y2MgCl
Source: Alexandria
Functional: SCAN
Structure: PBEsol geometry

The space group is C2/m (No. 12) and the conventional cell measures 10.5715, 3.6112 and 6.1840 Å, with angles of 90.00, 115.31 and 90.00 degrees. The inequivalent atoms are Y at (0.2041, 0.0000, 0.2158), Mg at (0.0000, 0.0000, 0.5000) and Cl at (0.0000, 0.5000, 0.0000).

The magnetic moment comes out at 0.012 μB per atom. The offset from the most stable computed form comes out at 103 meV per atom. The value obtained for the energy is -17.71 eV/atom. The value obtained for the density is 3.7 Mg/m³. The energy relative to the elements, uncorrected comes out at -0.5548 eV/atom.

=====

Record 4
Compound: Dy2InAg
Source: Alexandria
Functional: SCAN
Structure: PBEsol geometry

The space group is P4/mmm (No. 123) and the conventional cell measures 3.5426, 3.5426 and 7.6195 Å, with angles of 90.00, 90.00 and 90.00 degrees. The inequivalent atoms are Dy at (0.0000, 0.0000, 0.2370), In at (0.5000, 0.5000, 0.5000) and Ag at (0.5000, 0.5000, 0.0000).

The magnetic moment comes out at 0.000 μB per atom. The value obtained for the energy is -40.60 eV/atom. The value obtained for the density is 9.5 Mg/m³.

=====

Record 5
Compound: VO2F
Source: Alexandria
Functional: SCAN
Structure: PBEsol geometry

The space group is P2_1/c (No. 14) and the conventional cell measures 6.5470, 5.2243 and 6.4229 Å, with angles of 90.00, 90.13 and 90.00 degrees. The inequivalent atoms are V at (0.2046, 0.1269, 0.2503), O at (0.0076, 0.0308, 0.7503), O at (0.2621, 0.2494, 0.5006) and F at (0.3816, 0.6238, 0.7501).

The magnetic moment comes out at 0.000 μB per atom. The value obtained for the energy is -10.96 eV/atom. The value obtained for the density is 3.1 Mg/m³. The energy relative to the elements, uncorrected comes out at -2.5824 eV/atom.

=====

Record 6
Compound: Li2CaCd
Source: Alexandria
Functional: SCAN
Structure: PBEsol geometry

The space group is P4/mmm (No. 123) and the conventional cell measures 4.5441, 4.5441 and 4.7069 Å, with angles of 90.00, 90.00 and 90.00 degrees. The inequivalent atoms are Li at (0.0000, 0.5000, 0.0000), Ca at (0.0000, 0.0000, 0.5000) and Cd at (0.5000, 0.5000, 0.5000).

The magnetic moment comes out at 0.064 μB per atom. The offset from the most stable computed form comes out at 54 meV per atom. The value obtained for the energy is -11.36 eV/atom. The value obtained for the density is 2.8 Mg/m³.

=====

Record 7
Compound: TcOs2Au
Source: Alexandria
Functional: SCAN
Structure: PBEsol geometry

The space group is Pmmm (No. 47) and the conventional cell measures 2.7773, 4.5994 and 4.6559 Å, with angles of 90.00, 90.00 and 90.00 degrees. The inequivalent atoms are Tc at (0.0000, 0.0000, 0.0000), Os at (0.0000, 0.5000, 0.5000), Os at (0.5000, 0.5000, 0.0000) and Au at (0.5000, 0.0000, 0.5000).

The magnetic moment comes out at 0.207 μB per atom. The offset from the most stable computed form comes out at 370 meV per atom. The value obtained for the energy is -61.27 eV/atom. The value obtained for the density is 18.9 Mg/m³.

=====

Record 8
Compound: ZnNiRh
Source: Alexandria
Functional: SCAN
Structure: PBEsol geometry

The space group is F-43m (No. 216) and the conventional cell measures 5.5453, 5.5453 and 5.5453 Å, with angles of 90.00, 90.00 and 90.00 degrees. The inequivalent atoms are Zn at (0.0000, 0.0000, 0.0000), Ni at (0.2500, 0.2500, 0.7500) and Rh at (0.0000, 0.0000, 0.5000).

The magnetic moment comes out at 0.439 μB per atom. The value obtained for the energy is -21.01 eV/atom. The value obtained for the density is 8.8 Mg/m³.

=====

Record 9
Compound: Sc2AlSb
Source: Alexandria
Functional: SCAN
Structure: PBEsol geometry

The space group is P4mm (No. 99) and the conventional cell measures 3.8360, 3.8360 and 5.8279 Å, with angles of 90.00, 90.00 and 90.00 degrees. The inequivalent atoms are Sc at (0.0000, 0.0000, 0.0000), Sc at (0.5000, 0.5000, 0.2733), Al at (0.0000, 0.0000, 0.4920) and Sb at (0.5000, 0.5000, 0.7760).

The magnetic moment comes out at 0.000 μB per atom. The value obtained for the energy is -18.82 eV/atom. The value obtained for the density is 4.6 Mg/m³. The energy relative to the elements, uncorrected comes out at -0.4518 eV/atom.

=====

Record 10
Compound: CsSb2IrI
Source: Alexandria
Functional: SCAN
Structure: PBEsol geometry

The space group is P4/mmm (No. 123) and the conventional cell measures 6.1408, 6.1408 and 6.4309 Å, with angles of 90.00, 90.00 and 90.00 degrees. The inequivalent atoms are Cs at (0.0000, 0.0000, 0.0000), Sb at (0.0000, 0.5000, 0.0000), Ir at (0.5000, 0.5000, 0.5000) and I at (0.0000, 0.0000, 0.5000).

The magnetic moment comes out at 1.049 μB per atom. The value obtained for the energy is -41.74 eV/atom. The value obtained for the density is 4.8 Mg/m³. The energy relative to the elements, uncorrected comes out at 2.2929 eV/atom.

=====

Record 11
Compound: AlCdOs2
Source: Alexandria
Functional: SCAN
Structure: PBEsol geometry

The space group is I-4m2 (No. 119) and the conventional cell measures 3.9953, 3.9953 and 7.5401 Å, with angles of 90.00, 90.00 and 90.00 degrees. The inequivalent atoms are Al at (0.0000, 0.0000, 0.0000), Cd at (0.0000, 0.5000, 0.2500), Os at (0.0000, 0.0000, 0.5000) and Os at (0.0000, 0.5000, 0.7500).

The magnetic moment comes out at 0.000 μB per atom. The offset from the most stable computed form comes out at 140 meV per atom. The value obtained for the energy is -45.12 eV/atom. The value obtained for the density is 14.3 Mg/m³.

=====

Record 12
Compound: HgAsIr2
Source: Alexandria
Functional: SCAN
Structure: PBEsol geometry

The space group is C2/m (No. 12) and the conventional cell measures 5.7166, 9.1584 and 2.8633 Å, with angles of 90.00, 119.81 and 90.00 degrees. The inequivalent atoms are Hg at (0.0000, 0.0000, 0.0000), As at (0.0000, 0.5000, 0.0000) and Ir at (0.2500, 0.2500, 0.5000).

The magnetic moment comes out at 0.000 μB per atom. The offset from the most stable computed form comes out at 245 meV per atom. The value obtained for the energy is -57.00 eV/atom. The value obtained for the density is 16.9 Mg/m³.

=====

Record 13
Compound: ZnMoCl2
Source: Alexandria
Functional: SCAN
Structure: PBEsol geometry

The space group is Pmmm (No. 47) and the conventional cell measures 2.9602, 4.1537 and 5.4328 Å, with angles of 90.00, 90.00 and 90.00 degrees. The inequivalent atoms are Zn at (0.0000, 0.0000, 0.0000), Mo at (0.5000, 0.0000, 0.5000), Cl at (0.0000, 0.5000, 0.5000) and Cl at (0.5000, 0.5000, 0.0000).

The magnetic moment comes out at 0.566 μB per atom. The offset from the most stable computed form comes out at 519 meV per atom. The value obtained for the energy is -15.81 eV/atom. The value obtained for the density is 5.8 Mg/m³. The energy relative to the elements, uncorrected comes out at 0.2833 eV/atom.

=====

Record 14
Compound: Cr2CoRu
Source: Alexandria
Functional: SCAN
Structure: PBEsol geometry

The space group is Cm (No. 8) and the conventional cell measures 8.3156, 2.5605 and 4.3956 Å, with angles of 90.00, 99.86 and 90.00 degrees. The inequivalent atoms are Cr at (0.0000, 0.0000, 0.0000), Cr at (0.2428, 0.0000, 0.7264), Co at (0.2416, 0.5000, 0.2086) and Ru at (0.4887, 0.0000, 0.4872).

The magnetic moment comes out at 0.000 μB per atom. The value obtained for the energy is -21.98 eV/atom. The value obtained for the density is 9.5 Mg/m³.